{"formula": "Mg2NbAu", "functional": "PBE", "state": "relaxed", "n_ef_per_ev_atom": 0.856, "formation_energy_ev_per_atom": 0.315, "sg": "I-42d", "de_polymorph_ev_per_atom": 0.2151, "lattice": [[-3.772, 1.318, -6.409], [-6.537, -1.097, 3.622], [-5.267, 2.876, -0.759]], "species": ["Nb", "Mg", "Nb", "Au", "Mg", "Mg", "Au", "Mg"], "fractional_positions": [[0.250, 0.750, 0.500], [0.375, 0.346, 0.750], [0.500, 0.500, 0.000], [0.750, 0.250, 0.500], [0.654, 0.125, 0.250], [0.875, 0.904, 0.750], [0.000, 0.000, 0.000], [0.096, 0.625, 0.250]]}